# 1
# Li2UPaS4 GGA-PBE relaxed
# Symmetry = P2/m (10)
# Volume = 20.25 Å³ per atom
# ΔE_f (raw) = -1.42 eV/atom
data_Li2UPaS4
_chemical_formula_sum 'Li2 U1 Pa1 S4'
_space_group_name_H-M_alt 'P 1'
_space_group_IT_number 1
_space_group_name_Hall 'P 1'
_cell_length_a 3.8317
_cell_length_b 6.6483
_cell_length_c 6.7327
_cell_angle_alpha 109.16
_cell_angle_beta 90.00
_cell_angle_gamma 90.00
loop_
_atom_site_label
_atom_site_fract_x
_atom_site_fract_y
_atom_site_fract_z
S1 0.5000 0.7460 0.7407
S2 0.0000 0.2467 0.7381
S3 0.5000 0.2540 0.2593
S4 0.0000 0.7533 0.2619
U1 0.0000 0.0000 0.0000
Li1 0.5000 0.0000 0.5000
Li2 0.0000 0.5000 0.5000
Pa1 0.5000 0.5000 0.0000


# 2
# LiU2PaS4 GGA-PBE relaxed
# Symmetry = P2/m (10)
# Volume = 20.20 Å³ per atom
# ΔE_f (raw) = -1.42 eV/atom
data_LiU2PaS4
_chemical_formula_sum 'Li1 U2 Pa1 S4'
_space_group_name_H-M_alt 'P 1'
_space_group_IT_number 1
_space_group_name_Hall 'P 1'
_cell_length_a 3.8060
_cell_length_b 6.6456
_cell_length_c 6.7500
_cell_angle_alpha 108.80
_cell_angle_beta 90.00
_cell_angle_gamma 90.00
loop_
_atom_site_label
_atom_site_fract_x
_atom_site_fract_y
_atom_site_fract_z
Pa1 0.0000 0.0000 0.0000
U1 0.5000 0.0000 0.5000
U2 0.0000 0.5000 0.5000
S1 0.0000 0.2615 0.7617
S2 0.5000 0.7416 0.7554
S3 0.0000 0.7385 0.2383
S4 0.5000 0.2584 0.2446
Li1 0.5000 0.5000 0.0000


# 3
# LiU2PaS6 GGA-PBE relaxed
# Symmetry = P4mm (99)
# Volume = 25.25 Å³ per atom
# ΔE_f (raw) = -1.08 eV/atom
data_LiU2PaS6
_chemical_formula_sum 'Li1 U2 Pa1 S6'
_space_group_name_H-M_alt 'P 1'
_space_group_IT_number 1
_space_group_name_Hall 'P 1'
_cell_length_a 6.5561
_cell_length_b 6.2061
_cell_length_c 6.2061
_cell_angle_alpha 90.00
_cell_angle_beta 90.00
_cell_angle_gamma 90.00
loop_
_atom_site_label
_atom_site_fract_x
_atom_site_fract_y
_atom_site_fract_z
S1 0.7490 0.2401 0.7599
S2 0.1714 0.0000 0.0000
S3 0.7490 0.7599 0.7599
S4 0.7490 0.2401 0.2401
S5 0.1651 0.5000 0.5000
S6 0.7490 0.7599 0.2401
U1 0.0026 0.0000 0.5000
U2 0.0026 0.5000 0.0000
Pa1 0.5739 0.5000 0.5000
Li1 0.5352 0.0000 0.0000


# 4
# Li2U2PaS6 GGA-PBE relaxed
# Symmetry = C2/m (12)
# Volume = 22.52 Å³ per atom
# ΔE_f (raw) = -1.42 eV/atom
data_Li2U2PaS6
_chemical_formula_sum 'Li2 U2 Pa1 S6'
_space_group_name_H-M_alt 'P 1'
_space_group_IT_number 1
_space_group_name_Hall 'P 1'
_cell_length_a 6.7720
_cell_length_b 6.7720
_cell_length_c 6.6231
_cell_angle_alpha 99.78
_cell_angle_beta 99.78
_cell_angle_gamma 119.90
loop_
_atom_site_label
_atom_site_fract_x
_atom_site_fract_y
_atom_site_fract_z
S1 0.7598 0.7598 0.7552
S2 0.2402 0.2402 0.2448
S3 0.9249 0.5856 0.2528
S4 0.5856 0.9249 0.2528
S5 0.4144 0.0751 0.7472
S6 0.0751 0.4144 0.7472
U1 0.6626 0.3374 0.5000
U2 0.3374 0.6626 0.5000
Pa1 0.0000 0.0000 0.5000
Li1 0.1682 0.8318 0.0000
Li2 0.8318 0.1682 0.0000


# 5
# LiUPa2S5 GGA-PBE relaxed
# Symmetry = I4/mcm (140)
# Volume = 19.87 Å³ per atom
# ΔE_f (raw) = -1.38 eV/atom
data_LiUPa2S5
_chemical_formula_sum 'Li2 U2 Pa4 S10'
_space_group_name_H-M_alt 'P 1'
_space_group_IT_number 1
_space_group_name_Hall 'P 1'
_cell_length_a 7.3839
_cell_length_b 7.3839
_cell_length_c 8.3843
_cell_angle_alpha 116.13
_cell_angle_beta 116.13
_cell_angle_gamma 90.00
loop_
_atom_site_label
_atom_site_fract_x
_atom_site_fract_y
_atom_site_fract_z
Li1 0.7500 0.2500 0.5000
Li2 0.2500 0.7500 0.5000
Pa1 0.1508 0.3492 0.0000
Pa2 0.6508 0.1508 0.0000
Pa3 0.3492 0.8492 0.0000
Pa4 0.8492 0.6508 0.0000
S1 0.5224 0.6906 0.7131
S2 0.9776 0.4776 0.2869
S3 0.4776 0.3094 0.2869
S4 0.1906 0.0224 0.7131
S5 0.0000 0.0000 0.0000
S6 0.5000 0.5000 0.0000
S7 0.8094 0.9776 0.2869
S8 0.3094 0.8094 0.2869
S9 0.0224 0.5224 0.7131
S10 0.6906 0.1906 0.7131
U1 0.2500 0.2500 0.5000
U2 0.7500 0.7500 0.5000


# 6
# Li3U2PaS6 GGA-PBE relaxed
# Symmetry = C2/m (12)
# Volume = 20.22 Å³ per atom
# ΔE_f (raw) = -1.41 eV/atom
data_Li3U2PaS6
_chemical_formula_sum 'Li3 U2 Pa1 S6'
_space_group_name_H-M_alt 'P 1'
_space_group_IT_number 1
_space_group_name_Hall 'P 1'
_cell_length_a 6.6373
_cell_length_b 6.6373
_cell_length_c 6.7320
_cell_angle_alpha 99.45
_cell_angle_beta 99.45
_cell_angle_gamma 119.99
loop_
_atom_site_label
_atom_site_fract_x
_atom_site_fract_y
_atom_site_fract_z
Pa1 0.0000 0.0000 0.0000
Li1 0.1676 0.8324 0.5000
Li2 0.8324 0.1676 0.5000
Li3 0.5000 0.5000 0.5000
U1 0.3333 0.6667 0.0000
U2 0.6667 0.3333 0.0000
S1 0.4193 0.0867 0.2603
S2 0.2461 0.2461 0.7399
S3 0.9133 0.5807 0.7397
S4 0.7539 0.7539 0.2601
S5 0.0867 0.4193 0.2603
S6 0.5807 0.9133 0.7397